(1)
# CrOs3C

Crystalline CrOs3C at its relaxed geometry (GGA-PBE, the Alexandria database).

Summary:
**E_form**: 0.574 eV per atom
**DOS(E_F)**: 9.00 states/eV/f.u.
**Distance to the lowest polymorph of the same formula**: 0 meV/atom
**Symmetry**: Pm-3m

The structure in POSCAR format:
```
CrOs3C
1.0
4.011 0.000 0.000
0.000 4.011 0.000
0.000 0.000 4.011
Cr Os C
1 3 1
Direct
0.000 0.000 0.000
0.000 0.500 0.500
0.500 0.000 0.500
0.500 0.500 0.000
0.500 0.500 0.500
```


(2)
# CrOs3C

Crystalline CrOs3C at its relaxed geometry (GGA-PBE, the Alexandria database).

Summary:
**E_form**: 3.055 eV per atom
**DOS(E_F)**: 5.44 states/eV/f.u.
**Distance to the lowest polymorph of the same formula**: 2481 meV/atom
**Symmetry**: Pm-3m

The structure in POSCAR format:
```
CrOs3C
1.0
4.416 0.000 0.000
0.000 4.416 0.000
0.000 0.000 4.416
Cr Os C
1 3 1
Direct
0.000 0.000 0.000
0.000 0.000 0.500
0.000 0.500 0.000
0.500 0.000 0.000
0.500 0.500 0.500
```


(3)
# Cr21Os2C6

Crystalline Cr21Os2C6 at its relaxed geometry (GGA-PBE, the Alexandria database).

Summary:
**E_form**: -0.121 eV per atom
**DOS(E_F)**: 22.53 states/eV/f.u.
**Symmetry**: Fm-3m

The structure in POSCAR format:
```
Cr21Os2C6
1.0
0.000 5.303 5.303
5.303 0.000 5.303
5.303 5.303 0.000
Cr Os C
21 2 6
Direct
0.000 0.000 0.000
0.000 0.000 0.338
0.000 0.000 0.662
0.000 0.338 0.000
0.000 0.338 0.662
0.000 0.662 0.000
0.000 0.662 0.338
0.151 0.616 0.616
0.338 0.000 0.000
0.338 0.000 0.662
0.338 0.662 0.000
0.384 0.384 0.384
0.384 0.384 0.849
0.384 0.849 0.384
0.616 0.151 0.616
0.616 0.616 0.151
0.616 0.616 0.616
0.662 0.000 0.000
0.662 0.000 0.338
0.662 0.338 0.000
0.849 0.384 0.384
0.250 0.250 0.250
0.750 0.750 0.750
0.276 0.276 0.724
0.276 0.724 0.276
0.276 0.724 0.724
0.724 0.276 0.276
0.724 0.276 0.724
0.724 0.724 0.276
```


(4)
# Cr2Os2C

Crystalline Cr2Os2C at its relaxed geometry (GGA-PBE, the Alexandria database).

Summary:
**E_form**: 1.321 eV per atom
**DOS(E_F)**: 3.91 states/eV/f.u.
**Distance to the lowest polymorph of the same formula**: 181 meV/atom
**Symmetry**: P4/mbm

The structure in POSCAR format:
```
Cr2Os2C
1.0
6.950 0.000 0.000
0.000 6.950 0.000
0.000 0.000 2.774
Cr Os C
4 4 2
Direct
0.138 0.362 0.000
0.362 0.862 0.000
0.638 0.138 0.000
0.862 0.638 0.000
0.156 0.656 0.500
0.344 0.156 0.500
0.656 0.844 0.500
0.844 0.344 0.500
0.000 0.000 0.500
0.500 0.500 0.500
```


(5)
# Cr3OsC

Crystalline Cr3OsC at its relaxed geometry (GGA-PBE, the Alexandria database).

Summary:
**E_form**: 0.068 eV per atom
**DOS(E_F)**: 3.84 states/eV/f.u.
**Distance to the lowest polymorph of the same formula**: 0 meV/atom
**Symmetry**: Pm-3m

The structure in POSCAR format:
```
Cr3OsC
1.0
3.831 0.000 0.000
0.000 3.831 0.000
0.000 0.000 3.831
Cr Os C
3 1 1
Direct
0.000 0.000 0.500
0.000 0.500 0.000
0.500 0.000 0.000
0.500 0.500 0.500
0.000 0.000 0.000
```


(6)
# Cr3OsC

Crystalline Cr3OsC at its relaxed geometry (GGA-PBE, the Alexandria database).

Summary:
**E_form**: 2.416 eV per atom
**DOS(E_F)**: 5.75 states/eV/f.u.
**Distance to the lowest polymorph of the same formula**: 2349 meV/atom
**Symmetry**: Pm-3m

The structure in POSCAR format:
```
Cr3OsC
1.0
4.665 0.000 0.000
0.000 4.665 0.000
0.000 0.000 4.665
Cr Os C
3 1 1
Direct
0.000 0.000 0.500
0.000 0.500 0.000
0.500 0.000 0.000
0.000 0.000 0.000
0.500 0.500 0.500
```


(7)
# Cr2Os2C

Crystalline Cr2Os2C at its relaxed geometry (GGA-PBE, the Alexandria database).

Summary:
**E_form**: 1.141 eV per atom
**DOS(E_F)**: 3.82 states/eV/f.u.
**Distance to the lowest polymorph of the same formula**: 0 meV/atom
**Symmetry**: I4/mmm

The structure in POSCAR format:
```
Cr2Os2C
1.0
2.992 0.000 0.000
0.000 2.992 0.000
0.000 0.000 13.676
Cr Os C
4 4 2
Direct
0.000 0.500 0.250
0.000 0.500 0.750
0.500 0.000 0.250
0.500 0.000 0.750
0.000 0.000 0.094
0.000 0.000 0.906
0.500 0.500 0.406
0.500 0.500 0.594
0.000 0.000 0.500
0.500 0.500 0.000
```


(8)
# CrOsC3

Crystalline CrOsC3 at its relaxed geometry (GGA-PBE, the Alexandria database).

Summary:
**E_form**: 2.285 eV per atom
**DOS(E_F)**: 9.39 states/eV/f.u.
**Distance to the lowest polymorph of the same formula**: 0 meV/atom
**Symmetry**: Pm-3m

The structure in POSCAR format:
```
CrOsC3
1.0
3.938 0.000 0.000
0.000 3.938 0.000
0.000 0.000 3.938
Cr Os C
1 1 3
Direct
0.000 0.000 0.000
0.500 0.500 0.500
0.000 0.500 0.500
0.500 0.000 0.500
0.500 0.500 0.000
```


Calculated uncorrected energy in order - -9.9331; -7.4521; -9.7722; -8.8649; -9.7969; -7.4483; -9.0454; -7.4204 eV/atom